Record 1
Material: Ce3Sm2Se8
Method: DFT, PBE
State: relaxed

total DFT energy (no corrections) = -5.975 eV/atom
uncorrected formation energy = -1.735 eV per atom
polymorph energy (0 for the lowest one) = 0.000 eV/atom
calculated density = 5.4 g cm⁻³

Cell lengths 14.7994, 8.4321, 7.1519 Å; angles 90.00, 109.96, 90.00 degrees
Closest atoms and distances in Å follow each position.
Space group C2/m (No. 12)
Asymmetric unit:
Ce 0.0000 0.0000 0.0000 x2  6 Se 2.92-2.95
Ce 0.0000 0.2614 0.5000 x4  6 Se 2.87-2.96
Sm 0.2374 0.5000 0.1604 x4  6 Se 2.89-3.00
Se 0.1126 0.5000 0.3960 x4  2 Ce 2.87, 1 Sm 2.89
Se 0.1175 0.0000 0.4269 x4  3 Ce 2.95-2.96, 1 Sm 3.00
Se 0.1263 0.2329 0.9142 x8  2 Ce 2.92, 2 Sm 2.98-2.99

Record 2
Material: CeSmSe3
Method: DFT, PBE
State: relaxed

total DFT energy (no corrections) = -6.034 eV/atom
uncorrected formation energy = -1.813 eV per atom
polymorph energy (0 for the lowest one) = 0.053 eV/atom
calculated density = 6.4 g cm⁻³

Cell lengths 4.1552, 7.1866, 9.1646 Å; angles 90.00, 90.00, 90.00 degrees
Closest atoms and distances in Å follow each position.
Space group Pmmn (No. 59, origin choice 2)
Asymmetric unit:
Ce 0.2500 0.2500 0.1534 x2  6 Se 2.89-3.09
Sm 0.2500 0.7500 0.3991 x2  7 Se 2.93-3.06
Se 0.2500 0.5223 0.6715 x4  3 Sm 2.93-2.98, 2 Ce 3.09, 1 Se 3.27
Se 0.2500 0.7500 0.0657 x2  2 Ce 2.89, 1 Sm 3.06

Record 3
Material: CeSmSe2
Method: DFT, PBE
State: relaxed

total DFT energy (no corrections) = -6.233 eV/atom
uncorrected formation energy = -1.827 eV per atom
polymorph energy (0 for the lowest one) = 0.000 eV/atom
calculated density = 7.2 g cm⁻³

Cell lengths 4.1801, 4.1801, 20.6150 Å; angles 90.00, 90.00, 120.00 degrees
Closest atoms and distances in Å follow each position.
Space group R-3m (No. 166, hexagonal axes)
Asymmetric unit:
Ce 0.0000 0.0000 0.0000 x3  6 Se 2.97
Sm 0.0000 0.0000 0.5000 x3  6 Se 2.95
Se 0.0000 0.0000 0.2490 x6  3 Sm 2.95, 3 Ce 2.97

Record 4
Material: Ce2Sm2Se5
Method: DFT, PBE
State: relaxed

total DFT energy (no corrections) = -6.071 eV/atom
uncorrected formation energy = -1.767 eV per atom
calculated density = 7.0 g cm⁻³

Cell lengths 14.8813, 7.9115, 7.8921 Å; angles 90.00, 90.00, 90.00 degrees
Closest atoms and distances in Å follow each position.
Space group Cmce (No. 64)
Asymmetric unit:
Ce 0.1972 0.0000 0.0000 x8  7 Se 2.94-3.14
Sm 0.0000 0.1530 0.3443 x8  8 Se 2.94-3.20
Se 0.0000 0.0000 0.0000 x4  2 Ce 2.94, 4 Sm 2.97-3.01
Se 0.1370 0.1584 0.6530 x16  3 Sm 2.94-3.20, 3 Ce 3.02-3.14

Record 5
Material: CeSm3Se4
Method: DFT, PBE
State: relaxed

total DFT energy (no corrections) = -6.077 eV/atom
uncorrected formation energy = -1.823 eV per atom
calculated density = 7.3 g cm⁻³

Cell lengths 8.4068, 11.8241, 4.1563 Å; angles 90.00, 90.00, 90.00 degrees
Closest atoms and distances in Å follow each position.
Space group Cmmm (No. 65)
Asymmetric unit:
Ce 0.0000 0.0000 0.0000 x2  6 Se 2.96-2.97
Sm 0.0000 0.5000 0.0000 x2  6 Se 2.95
Sm 0.2500 0.2500 0.5000 x4  6 Se 2.96
Se 0.0000 0.2506 0.0000 x4  5 Sm 2.95-2.96, 1 Ce 2.96
Se 0.2483 0.5000 0.5000 x4  4 Sm 2.95-2.96, 2 Ce 2.97

Record 6
Material: CeSm3Se4
Method: DFT, PBE
State: relaxed

total DFT energy (no corrections) = -6.077 eV/atom
uncorrected formation energy = -1.823 eV per atom
calculated density = 7.3 g cm⁻³

Cell lengths 5.9107, 5.9107, 11.8299 Å; angles 90.00, 90.00, 90.00 degrees
Closest atoms and distances in Å follow each position.
Space group I4/mmm (No. 139)
Asymmetric unit:
Ce 0.0000 0.0000 0.0000 x2  6 Se 2.96
Sm 0.0000 0.0000 0.5000 x2  6 Se 2.95-2.96
Sm 0.0000 0.5000 0.2500 x4  6 Se 2.96
Se 0.0000 0.0000 0.2506 x4  5 Sm 2.95-2.96, 1 Ce 2.96
Se 0.0000 0.5000 0.0000 x4  2 Ce 2.96, 4 Sm 2.96

Record 7
Material: CeSmSe
Method: DFT, PBE
State: relaxed

total DFT energy (no corrections) = -5.801 eV/atom
uncorrected formation energy = -1.089 eV per atom
calculated density = 8.3 g cm⁻³

Cell lengths 4.1181, 4.1193, 8.7629 Å; angles 90.00, 90.03, 90.00 degrees
Closest atoms and distances in Å follow each position.
Space group P2_1/m (No. 11)
Asymmetric unit:
Ce 0.2485 0.2500 0.0002 x2  4 Ce 2.90-2.92, 4 Se 3.22-3.23
Sm 0.2498 0.7500 0.3649 x2  5 Se 3.00-3.08
Se 0.2503 0.7500 0.7166 x2  5 Sm 3.00-3.08, 4 Ce 3.22-3.23

Record 8
Material: CeSm2Se
Method: DFT, PBE
State: relaxed

total DFT energy (no corrections) = -5.229 eV/atom
uncorrected formation energy = -0.515 eV per atom
polymorph energy (0 for the lowest one) = 0.205 eV/atom
calculated density = 6.7 g cm⁻³

Cell lengths 3.7728, 3.7728, 31.3343 Å; angles 90.00, 90.00, 120.00 degrees
Closest atoms and distances in Å follow each position.
Space group R-3m (No. 166, hexagonal axes)
Asymmetric unit:
Ce 0.0000 0.0000 0.0000 x3  2 Sm 3.37
Sm 0.0000 0.0000 0.1074 x6  3 Se 2.86
Se 0.0000 0.0000 0.5000 x3  6 Sm 2.86